(one)
# Li3Ti2P3O12

Li3Ti2P3O12 after structural relaxation (PBE, Alexandria).

Properties
The magnetic moment is 8.0 μB/cell.

a b c (Å): 8.894 8.788 15.086
angles (deg): 90.00 125.76 90.00
Space group P2_1/c (No. 14)
Asymmetric unit:
Li: 0.033 0.232 0.321 [4 per cell]
Li: 0.313 0.200 0.244 [4 per cell]
Li: 0.380 0.579 0.299 [4 per cell]
Ti: 0.137 0.544 0.391 [4 per cell]
Ti: 0.362 0.530 0.109 [4 per cell]
P: 0.046 0.096 0.651 [4 per cell]
P: 0.253 0.614 0.649 [4 per cell]
P: 0.455 0.247 0.993 [4 per cell]
O: 0.034 0.241 0.187 [4 per cell]
O: 0.070 0.526 0.233 [4 per cell]
O: 0.092 0.596 0.660 [4 per cell]
O: 0.119 0.556 0.964 [4 per cell]
O: 0.185 0.586 0.530 [4 per cell]
O: 0.236 0.096 0.665 [4 per cell]
O: 0.267 0.162 0.929 [4 per cell]
O: 0.330 0.721 0.183 [4 per cell]
O: 0.382 0.641 0.426 [4 per cell]
O: 0.404 0.008 0.221 [4 per cell]
O: 0.446 0.128 0.562 [4 per cell]
O: 0.477 0.185 0.406 [4 per cell]

=====

(two)
# Li3Ti2P3O12

Li3Ti2P3O12 after structural relaxation (PBE, Alexandria).

Properties
The magnetic moment is 8.0 μB/cell.

a b c (Å): 14.969 8.880 8.527
angles (deg): 90.00 122.18 90.00
Space group C2/c (No. 15)
Asymmetric unit:
Li: 0.000 0.144 0.250 [4 per cell]
Li: 0.188 0.380 0.307 [8 per cell]
Ti: 0.109 0.247 0.642 [8 per cell]
P: 0.000 0.454 0.250 [4 per cell]
P: 0.139 0.116 0.051 [8 per cell]
O: 0.039 0.157 0.052 [8 per cell]
O: 0.064 0.455 0.690 [8 per cell]
O: 0.086 0.345 0.403 [8 per cell]
O: 0.123 0.159 0.862 [8 per cell]
O: 0.164 0.056 0.575 [8 per cell]
O: 0.232 0.203 0.214 [8 per cell]

=====

If you had to bet on the most stable structure above, which would it be? Bet on (one).